{"formula": "AlCr2W", "functional": "PBE-GGA", "state": "relaxed", "lattice": [[2.6466, 0.0049, 0.0000], [-0.9022, 2.4881, 0.0000], [0.0000, 0.0000, 8.2968]], "species": ["Al", "Cr", "Cr", "W"], "frac_coords": [[0.5000, 0.5000, 0.7635], [0.5000, 0.5000, 0.2345], [0.0000, 0.0000, 0.0111], [0.0000, 0.0000, 0.4909]], "e_tot_ev_per_atom": -8.9177}

{"formula": "AlCrW", "functional": "PBE-GGA", "state": "relaxed", "lattice": [[6.6863, -0.0026, 0.0020], [5.9586, 2.5925, 0.0084], [0.7277, -0.7580, 2.4820]], "species": ["W", "Cr", "Al"], "frac_coords": [[0.3284, 0.3284, 0.6716], [0.6662, 0.6662, 0.3338], [0.0054, 0.0054, 0.9946]], "e_tot_ev_per_atom": -8.7171, "relative_energy_ev_per_fu": 0.29}

{"formula": "AlCrW2", "functional": "PBE-GGA", "state": "relaxed", "lattice": [[2.7282, 0.0000, 0.0000], [0.0000, 2.7282, 0.0000], [0.0000, 0.0000, 8.0592]], "species": ["Cr", "W", "W", "Al"], "frac_coords": [[0.5000, 0.5000, 0.7410], [0.0000, 0.0000, 0.9807], [0.5000, 0.5000, 0.2612], [0.0000, 0.0000, 0.5170]], "e_tot_ev_per_atom": -9.5908}

{"formula": "AlCr2W", "functional": "PBE-GGA", "state": "relaxed", "lattice": [[-1.9697, 3.7283, 0.7344], [-3.1144, 0.2349, 2.9264], [0.6707, 2.0870, 3.6761]], "species": ["Cr", "Cr", "W", "Al"], "frac_coords": [[0.2500, 0.2500, 0.2500], [0.0000, 0.0000, 0.0000], [0.7500, 0.7500, 0.7500], [0.5000, 0.5000, 0.5000]], "e_tot_ev_per_atom": -8.8471}

{"formula": "AlCr2W", "functional": "PBE-GGA", "state": "relaxed", "lattice": [[-6.6794, -4.3382, 4.0689], [-6.9639, -5.3900, 1.5629], [-5.1801, -6.4943, 3.3138]], "species": ["Al", "Cr", "Cr", "W"], "frac_coords": [[0.7500, 0.7500, 0.7500], [0.0015, 0.0015, 0.0015], [0.4985, 0.4985, 0.4985], [0.2500, 0.2500, 0.2500]], "e_tot_ev_per_atom": -8.6429}

{"formula": "AlCr2W", "functional": "PBE-GGA", "state": "relaxed", "lattice": [[4.1775, 0.0000, 0.0000], [0.0000, 2.6157, 0.0014], [0.0000, 0.8770, 4.9739]], "species": ["Al", "W", "Cr", "Cr"], "frac_coords": [[0.5000, 0.7500, 0.7500], [0.5000, 0.2500, 0.2500], [0.0000, 0.4515, 0.5127], [0.0000, 0.0485, 0.9873]], "e_tot_ev_per_atom": -8.9273}

{"formula": "AlCrW2", "functional": "PBE-GGA", "state": "relaxed", "lattice": [[-2.0044, 1.1399, -3.7524], [-2.7227, -2.8322, -1.9907], [-4.3365, 0.7688, -0.0348]], "species": ["Cr", "W", "W", "Al"], "frac_coords": [[0.2500, 0.2500, 0.2500], [0.0000, 0.0000, 0.0000], [0.7500, 0.7500, 0.7500], [0.5000, 0.5000, 0.5000]], "e_tot_ev_per_atom": -9.7305}

{"formula": "AlCrW", "functional": "PBE-GGA", "state": "relaxed", "lattice": [[2.9283, 0.0000, 0.0000], [0.0000, 3.9630, 0.0000], [0.0000, 0.0000, 4.2998]], "species": ["Cr", "W", "Al"], "frac_coords": [[0.0000, 0.0000, 0.0000], [0.5000, 0.5000, 0.0000], [0.5000, 0.0000, 0.5000]], "e_tot_ev_per_atom": -8.1963, "relative_energy_ev_per_fu": 1.85}

We obtain formation energy values of 68 56 227 138 343 58 88 577 meV per atom for the records listed above, in that order.
We obtain DOS(E_F) values of 2.70 2.04 3.29 3.74 4.18 3.25 3.11 2.90 states/eV per cell for the records listed above, in that order.